#P
# LaSc2Ru

An optimized crystal structure of LaSc2Ru (GGA-PBE, Alexandria via LeMat-Bulk).

Output
magnetization = 0.000 μB per cell
DOS at the Fermi energy = 3.5 states/eV/f.u.

a = 6.0700 Å, b = 7.9205 Å, c = 3.6174 Å
α = 90.00°, β = 90.00°, γ = 90.00°
With the nearest neighbours (Å) after each atom.
Space group Cmmm (No. 65)
One atom of each set of equivalent atoms:
La 0.0000 0.0000 0.0000 x2  2 Ru 3.04, 8 Sc 3.08
Sc 0.2500 0.2500 0.5000 x4  2 Sc 3.04, 4 La 3.08, 4 Ru 3.08
Ru 0.0000 0.5000 0.0000 x2  2 La 3.04, 8 Sc 3.08


#Q
# LaSc2Ru

An optimized crystal structure of LaSc2Ru (GGA-PBE, Alexandria via LeMat-Bulk).

Output
magnetization = 0.007 μB per cell
DOS at the Fermi energy = 5.1 states/eV/f.u.

a = 3.3499 Å, b = 3.3499 Å, c = 29.2131 Å
α = 90.00°, β = 90.00°, γ = 120.00°
With the nearest neighbours (Å) after each atom.
Space group R-3m (No. 166, hexagonal axes)
One atom of each set of equivalent atoms:
La 0.0000 0.0000 0.0000 x3  6 La 3.35, 6 Sc 3.60
Sc 0.0000 0.0000 0.2296 x6  3 Ru 2.67
Ru 0.0000 0.0000 0.5000 x3  6 Sc 2.67


Pick #Q: it beats the second-best structure by 173 meV/atom.